Below is crystalline CaErTe2 at its relaxed geometry, with properties calculated at the PBE level.

abc: 4.5575 4.5575 9.5712
angles: 76.23 76.23 60.00
Fractional positions:
1 Te 0.8973 0.8973 0.3082
2 Te 0.1027 0.1027 0.6918
3 Ca 0.5000 0.5000 0.5000
4 Er 0.0000 0.0000 0.0000

Values from the calculation:
E ... -16.0 eV/cell
M_tot ... 0.001 μB/atom
Polymorph energy (0 for the lowest one) ... 629 meV/atom

---

Below is crystalline Ca5Er3Te12 at its relaxed geometry, with properties calculated at the PBE level.

abc: 15.7115 15.7115 15.7115
angles: 109.47 109.47 109.47
Fractional positions:
1 Ca 0.7500 0.1250 0.8750
2 Ca 0.5000 0.0000 0.5000
3 Ca 0.2500 0.3750 0.6250
4 Ca 0.3750 0.2500 0.1250
5 Ca 0.0000 0.5000 0.0000
6 Ca 0.5000 0.5000 0.0000
7 Ca 0.5000 0.5000 0.5000
8 Ca 0.1250 0.3750 0.2500
9 Ca 0.0000 0.0000 0.0000
10 Ca 0.8750 0.2500 0.6250
11 Ca 0.1250 0.7500 0.3750
12 Ca 0.0000 0.0000 0.5000
13 Ca 0.3750 0.1250 0.7500
14 Ca 0.2500 0.8750 0.1250
15 Ca 0.5000 0.0000 0.0000
16 Ca 0.8750 0.6250 0.7500
17 Ca 0.7500 0.6250 0.3750
18 Ca 0.0000 0.5000 0.5000
19 Ca 0.6250 0.8750 0.2500
20 Ca 0.6250 0.7500 0.8750
21 Er 0.3750 0.6250 0.2500
22 Er 0.7500 0.8750 0.6250
23 Er 0.3750 0.7500 0.6250
24 Er 0.2500 0.1250 0.3750
25 Er 0.8750 0.7500 0.1250
26 Er 0.1250 0.2500 0.8750
27 Er 0.2500 0.6250 0.8750
28 Er 0.8750 0.1250 0.2500
29 Er 0.6250 0.3750 0.7500
30 Er 0.7500 0.3750 0.1250
31 Er 0.6250 0.2500 0.3750
32 Er 0.1250 0.8750 0.7500
33 Te 0.4378 0.6762 0.0687
34 Te 0.3238 0.7616 0.3925
35 Te 0.2384 0.5622 0.6308
36 Te 0.1075 0.9313 0.3692
37 Te 0.6075 0.8692 0.4313
38 Te 0.6762 0.4378 0.5687
39 Te 0.8238 0.8925 0.2616
40 Te 0.0622 0.6308 0.7384
41 Te 0.6075 0.7384 0.6762
42 Te 0.1308 0.3925 0.0687
43 Te 0.6308 0.5687 0.8925
44 Te 0.6762 0.2384 0.6075
45 Te 0.5687 0.6308 0.3925
46 Te 0.0687 0.8925 0.1308
47 Te 0.8925 0.8238 0.7616
48 Te 0.2616 0.8692 0.9378
49 Te 0.9313 0.8238 0.5622
50 Te 0.2616 0.3925 0.8238
51 Te 0.1075 0.1762 0.2384
52 Te 0.0687 0.1762 0.4378
53 Te 0.1762 0.0687 0.9378
54 Te 0.1308 0.7384 0.5622
55 Te 0.3692 0.9378 0.7616
56 Te 0.8238 0.9313 0.0622
57 Te 0.8692 0.6075 0.9313
58 Te 0.3925 0.2616 0.3238
59 Te 0.3692 0.4313 0.1075
60 Te 0.7616 0.4378 0.3692
61 Te 0.4313 0.0622 0.3238
62 Te 0.4378 0.7616 0.8692
63 Te 0.5622 0.3238 0.9313
64 Te 0.4313 0.3692 0.6075
65 Te 0.3238 0.5622 0.4313
66 Te 0.9378 0.5687 0.1762
67 Te 0.7384 0.1308 0.0622
68 Te 0.8692 0.2616 0.4378
69 Te 0.2384 0.6762 0.1075
70 Te 0.5687 0.9378 0.6762
71 Te 0.0622 0.4313 0.8238
72 Te 0.6308 0.0622 0.2384
73 Te 0.7384 0.6075 0.1762
74 Te 0.1762 0.1075 0.7384
75 Te 0.7616 0.3238 0.8925
76 Te 0.5622 0.2384 0.1308
77 Te 0.3925 0.1308 0.5687
78 Te 0.9313 0.1075 0.8692
79 Te 0.9378 0.3692 0.2616
80 Te 0.8925 0.0687 0.6308

Values from the calculation:
E ... -322.0 eV/cell
M_tot ... 0.000 μB/atom

---

Below is crystalline Ca4ErTe5 at its relaxed geometry, with properties calculated at the PBE level.

abc: 4.4610 4.4610 16.1556
angles: 97.94 97.94 90.00
Fractional positions:
1 Te 0.5000 0.5000 0.0000
2 Te 0.3005 0.3005 0.6010
3 Te 0.6995 0.6995 0.3990
4 Te 0.9027 0.9027 0.8054
5 Te 0.0973 0.0973 0.1946
6 Ca 0.4008 0.4008 0.8016
7 Ca 0.1994 0.1994 0.3987
8 Ca 0.5992 0.5992 0.1984
9 Ca 0.8006 0.8006 0.6013
10 Er 0.0000 0.0000 0.0000

Values from the calculation:
E ... -43.8 eV/cell
M_tot ... 0.000 μB/atom

---

Below is crystalline Ca5ErTe6 at its relaxed geometry, with properties calculated at the PBE level.

abc: 7.7501 7.7501 7.7547
angles: 99.61 99.61 119.97
Fractional positions:
1 Ca 0.1686 0.8314 0.5000
2 Ca 0.5000 0.5000 0.5000
3 Ca 0.8314 0.1686 0.5000
4 Ca 0.6662 0.3338 0.0000
5 Ca 0.3338 0.6662 0.0000
6 Te 0.4083 0.0818 0.2458
7 Te 0.9182 0.5917 0.7542
8 Te 0.7562 0.7562 0.2464
9 Te 0.2438 0.2438 0.7536
10 Te 0.5917 0.9182 0.7542
11 Te 0.0818 0.4083 0.2458
12 Er 0.0000 0.0000 0.0000

Values from the calculation:
E ... -52.2 eV/cell
M_tot ... 0.000 μB/atom

---

Below is crystalline CaErTe2 at its relaxed geometry, with properties calculated at the PBE level.

abc: 4.2934 4.2934 8.0798
angles: 74.59 74.59 60.00
Fractional positions:
1 Ca 0.4967 0.4967 0.5100
2 Te 0.0794 0.0794 0.7618
3 Te 0.2548 0.2548 0.2356
4 Er 0.6691 0.6691 0.9926

Values from the calculation:
E ... -18.3 eV/cell
M_tot ... 0.000 μB/atom
Polymorph energy (0 for the lowest one) ... 53 meV/atom

---

Below is crystalline Ca2Er3Te6 at its relaxed geometry, with properties calculated at the PBE level.

abc: 7.5341 7.5331 7.7492
angles: 80.63 70.99 60.00
Fractional positions:
1 Er 0.3317 0.3367 0.0000
2 Er 0.0000 0.0000 0.0000
3 Er 0.6683 0.6633 0.0000
4 Ca 0.8340 0.3320 0.5000
5 Ca 0.1660 0.6680 0.5000
6 Te 0.4146 0.6704 0.7571
7 Te 0.9150 0.6704 0.2429
8 Te 0.7437 0.0000 0.7594
9 Te 0.5854 0.3296 0.2429
10 Te 0.0850 0.3296 0.7571
11 Te 0.2563 0.0000 0.2406

Values from the calculation:
E ... -52.7 eV/cell
M_tot ... 0.000 μB/atom

---

Below is crystalline CaEr6Te8 at its relaxed geometry, with properties calculated at the PBE level.

abc: 8.6380 8.6380 8.6380
angles: 60.00 60.00 60.00
Fractional positions:
1 Te 0.2582 0.7418 0.2582
2 Te 0.7418 0.2582 0.2582
3 Te 0.2500 0.2500 0.2500
4 Te 0.2582 0.2582 0.7418
5 Te 0.7418 0.2582 0.7418
6 Te 0.7500 0.7500 0.7500
7 Te 0.2582 0.7418 0.7418
8 Te 0.7418 0.7418 0.2582
9 Er 0.0000 0.5000 0.5000
10 Er 0.0000 0.5000 0.0000
11 Er 0.5000 0.0000 0.0000
12 Er 0.0000 0.0000 0.5000
13 Er 0.5000 0.5000 0.0000
14 Er 0.5000 0.0000 0.5000
15 Ca 0.0000 0.0000 0.0000

Values from the calculation:
E ... -74.7 eV/cell
M_tot ... 0.000 μB/atom

---

Below is crystalline CaErTe2 at its relaxed geometry, with properties calculated at the PBE level.

abc: 7.6621 7.5978 9.8299
angles: 104.89 105.15 109.41
Fractional positions:
1 Ca 0.3137 0.0637 0.6275
2 Ca 0.4389 0.6889 0.8778
3 Ca 0.5611 0.3111 0.1222
4 Ca 0.6863 0.9363 0.3725
5 Er 0.0643 0.8143 0.1287
6 Er 0.9357 0.1857 0.8713
7 Er 0.1892 0.4392 0.3783
8 Er 0.8108 0.5608 0.6217
9 Te 0.8230 0.0683 0.1248
10 Te 0.9396 0.6851 0.3748
11 Te 0.4352 0.1897 0.3748
12 Te 0.3018 0.5565 0.1248
13 Te 0.0604 0.3149 0.6252
14 Te 0.5648 0.8103 0.6252
15 Te 0.1770 0.9317 0.8752
16 Te 0.6982 0.4435 0.8752

Values from the calculation:
E ... -74.0 eV/cell
M_tot ... 0.000 μB/atom
Polymorph energy (0 for the lowest one) ... 6 meV/atom

---

Below is crystalline Ca4ErTe5 at its relaxed geometry, with properties calculated at the PBE level.

abc: 6.3086 7.7353 7.7353
angles: 80.43 65.93 65.93
Fractional positions:
1 Er 0.0015 0.0000 0.0000
2 Te 0.2944 0.8049 0.6083
3 Te 0.9026 0.3917 0.8049
4 Te 0.5013 0.0000 0.0000
5 Te 0.7075 0.1951 0.3917
6 Te 0.0993 0.6083 0.1951
7 Ca 0.2000 0.2033 0.3986
8 Ca 0.5986 0.6014 0.2033
9 Ca 0.4032 0.3986 0.7967
10 Ca 0.8019 0.7967 0.6014

Values from the calculation:
E ... -43.8 eV/cell
M_tot ... 0.000 μB/atom

---

Below is crystalline Ca4Er3Te8 at its relaxed geometry, with properties calculated at the PBE level.

abc: 8.7842 8.7842 9.5262
angles: 62.54 62.54 60.00
Fractional positions:
1 Te 0.7490 0.7490 0.2690
2 Te 0.7670 0.2510 0.7310
3 Te 0.7490 0.2330 0.2690
4 Te 0.7664 0.7664 0.7008
5 Te 0.2510 0.2510 0.7310
6 Te 0.2336 0.2336 0.2992
7 Te 0.2510 0.7670 0.7310
8 Te 0.2330 0.7490 0.2690
9 Ca 0.0000 0.0000 0.0000
10 Ca 0.3559 0.3559 0.9324
11 Ca 0.6441 0.6441 0.0676
12 Ca 0.5000 0.5000 0.5000
13 Er 0.0000 0.0000 0.5000
14 Er 0.0000 0.5000 0.5000
15 Er 0.5000 0.0000 0.5000

Values from the calculation:
E ... -67.6 eV/cell
M_tot ... 0.000 μB/atom

---

Below is crystalline CaErTe2 at its relaxed geometry, with properties calculated at the PBE level.

abc: 4.3746 4.3746 7.7169
angles: 73.53 73.53 60.00
Fractional positions:
1 Te 0.2526 0.2526 0.2421
2 Te 0.7474 0.7474 0.7579
3 Er 0.0000 0.0000 0.0000
4 Ca 0.5000 0.5000 0.5000

Values from the calculation:
E ... -18.5 eV/cell
M_tot ... 0.000 μB/atom
Polymorph energy (0 for the lowest one) ... 0 meV/atom

---

Below is crystalline Ca3ErTe4 at its relaxed geometry, with properties calculated at the PBE level.

abc: 4.4393 7.7239 7.7239
angles: 109.29 90.00 90.00
Fractional positions:
1 Ca 0.5000 0.5000 0.5000
2 Ca 0.0000 0.5000 0.0000
3 Ca 0.0000 0.0000 0.5000
4 Er 0.5000 0.0000 0.0000
5 Te 0.5000 0.7539 0.2461
6 Te 0.0000 0.2432 0.2432
7 Te 0.5000 0.2461 0.7539
8 Te 0.0000 0.7568 0.7568

Values from the calculation:
E ... -35.4 eV/cell
M_tot ... 0.000 μB/atom

---

Below is crystalline Ca3Er4Te8 at its relaxed geometry, with properties calculated at the PBE level.

abc: 8.7231 8.7606 8.7606
angles: 90.19 119.65 119.65
Fractional positions:
1 Er 0.0000 0.0000 0.0000
2 Er 0.0000 0.0000 0.5000
3 Er 0.0000 0.5000 0.0000
4 Er 0.5000 0.0000 0.0000
5 Te 0.0000 0.2501 0.7499
6 Te 0.0000 0.7499 0.2501
7 Te 0.5000 0.2475 0.7525
8 Te 0.0062 0.7509 0.7509
9 Te 0.5047 0.7561 0.7561
10 Te 0.9938 0.2491 0.2491
11 Te 0.5000 0.7525 0.2475
12 Te 0.4953 0.2439 0.2439
13 Ca 0.5000 0.5000 0.5000
14 Ca 0.5000 0.0000 0.5000
15 Ca 0.5000 0.5000 0.0000

Values from the calculation:
E ... -71.1 eV/cell
M_tot ... 0.000 μB/atom

---

Below is crystalline Ca6ErTe8 at its relaxed geometry, with properties calculated at the PBE level.

abc: 8.9894 8.9894 8.9894
angles: 60.00 60.00 60.00
Fractional positions:
1 Ca 0.5000 0.0000 0.5000
2 Ca 0.5000 0.0000 0.0000
3 Ca 0.5000 0.5000 0.0000
4 Ca 0.0000 0.5000 0.5000
5 Ca 0.0000 0.5000 0.0000
6 Ca 0.0000 0.0000 0.5000
7 Te 0.2428 0.7572 0.7572
8 Te 0.7500 0.7500 0.7500
9 Te 0.7572 0.2428 0.2428
10 Te 0.2428 0.2428 0.7572
11 Te 0.7572 0.7572 0.2428
12 Te 0.2428 0.7572 0.2428
13 Te 0.2500 0.2500 0.2500
14 Te 0.7572 0.2428 0.7572
15 Er 0.0000 0.0000 0.0000

Values from the calculation:
E ... -64.3 eV/cell
M_tot ... 0.000 μB/atom

---

Below is crystalline CaEr3Te4 at its relaxed geometry, with properties calculated at the PBE level.

abc: 6.1467 6.1467 7.5454
angles: 114.04 114.04 90.00
Fractional positions:
1 Te 0.5000 0.0000 0.0000
2 Te 0.0000 0.5000 0.0000
3 Te 0.7493 0.7493 0.4986
4 Te 0.2507 0.2507 0.5014
5 Er 0.2500 0.7500 0.5000
6 Er 0.7500 0.2500 0.5000
7 Er 0.5000 0.5000 0.0000
8 Ca 0.0000 0.0000 0.0000

Values from the calculation:
E ... -38.8 eV/cell
M_tot ... 0.000 μB/atom

---

Below is crystalline CaEr2Tl3Te6 at its relaxed geometry, with properties calculated at the PBE level.

abc: 7.7446 7.7446 8.3938
angles: 98.83 98.83 119.96
Fractional positions:
1 Tl 0.5000 0.5000 0.5000
2 Tl 0.8356 0.1644 0.5000
3 Tl 0.1644 0.8356 0.5000
4 Te 0.9273 0.5834 0.7828
5 Te 0.5834 0.9273 0.7828
6 Te 0.0727 0.4166 0.2172
7 Te 0.4166 0.0727 0.2172
8 Te 0.7271 0.7271 0.2138
9 Te 0.2729 0.2729 0.7862
10 Ca 0.0000 0.0000 0.0000
11 Er 0.6674 0.3326 0.0000
12 Er 0.3326 0.6674 0.0000

Values from the calculation:
E ... -48.9 eV/cell
M_tot ... 0.000 μB/atom

---

Below is crystalline Ca4Er3TmTe8 at its relaxed geometry, with properties calculated at the PBE level.

abc: 8.7442 8.8618 8.7446
angles: 119.57 120.00 90.00
Fractional positions:
1 Te 0.7481 0.7416 0.9948
2 Te 0.2519 0.2584 0.0052
3 Te 0.2468 0.7416 0.9948
4 Te 0.2526 0.2577 0.5052
5 Te 0.2469 0.7417 0.4937
6 Te 0.7532 0.2584 0.0052
7 Te 0.7474 0.7423 0.4948
8 Te 0.7531 0.2583 0.5063
9 Er 0.5000 0.5000 0.0000
10 Er 0.0000 0.5000 0.5000
11 Er 0.5000 0.5000 0.5000
12 Ca 0.5000 0.0000 0.0000
13 Ca 0.0000 0.0000 0.5000
14 Ca 0.5000 0.0000 0.5000
15 Ca 0.0000 0.0000 0.0000
16 Tm 0.0000 0.5000 0.0000

Values from the calculation:
E ... -74.0 eV/cell
M_tot ... 0.000 μB/atom

---

Below is crystalline Ca2ErTm2Te6 at its relaxed geometry, with properties calculated at the PBE level.

abc: 7.5218 7.5218 7.7388
angles: 99.34 99.34 120.03
Fractional positions:
1 Tm 0.3318 0.6682 0.5000
2 Tm 0.6682 0.3318 0.5000
3 Er 0.0000 0.0000 0.5000
4 Ca 0.1657 0.8343 0.0000
5 Ca 0.8343 0.1657 0.0000
6 Te 0.0843 0.4150 0.7418
7 Te 0.4150 0.0843 0.7418
8 Te 0.9157 0.5850 0.2582
9 Te 0.2579 0.2579 0.2597
10 Te 0.7421 0.7421 0.7403
11 Te 0.5850 0.9157 0.2582

Values from the calculation:
E ... -52.4 eV/cell
M_tot ... 0.000 μB/atom